No. 1
First-principles (PBE) data for a relaxed ThCoCu crystal, as listed in Alexandria.

```
ThCoCu
1.0
4.165 0.000 0.000
-2.083 3.607 0.000
0.000 0.000 3.759
Th Co Cu
1 1 1
direct
0.000 0.000 0.000
0.667 0.333 0.500
0.333 0.667 0.500
```

No. 2
First-principles (PBE) data for a relaxed Dy4AlZn2In crystal, as listed in Alexandria.

```
Dy4AlZn2In
1.0
2.566 1.482 8.399
-2.566 1.482 8.399
0.000 -2.963 8.399
Dy Al Zn In
4 1 2 1
direct
0.122 0.122 0.122
0.372 0.372 0.372
0.628 0.628 0.628
0.878 0.878 0.878
0.000 0.000 0.000
0.250 0.250 0.250
0.750 0.750 0.750
0.500 0.500 0.500
```

| no. | D(E_F) (states/eV/atom) | E_form (eV/f.u.) | theoretical density (Mg/m³) |
| --- | --- | --- | --- |
| 1 | 1.00 | -0.4 | 10.42 |
| 2 | 0.77 | -3.1 | 8.00 |